FeAsO2 | the Alexandria database | PBE with a Hubbard U | relaxed; DOS(E_F) = 3.212 states/eV/cell; electronic total energy = -5.64 eV per atom; volume = 117.4 Å³ per cell; space group = I-42d
1.0
-2.374 2.374 5.212
2.374 -2.374 5.212
2.374 2.374 -5.212
Fe As O
2 2 4
direct
0.000 0.000 0.000 Fe
0.750 0.250 0.500 Fe
0.250 0.750 0.500 As
0.500 0.500 0.000 As
0.110 0.625 0.985 O
0.375 0.360 0.485 O
0.640 0.125 0.015 O
0.875 0.890 0.515 O